1.
Crystalline Li2InRe at its relaxed geometry. Source: Alexandria via LeMat-Bulk, functional PBE.

a = 3.8719 Å, b = 3.8719 Å, c = 8.6868 Å
α = 90.00°, β = 90.00°, γ = 90.00°
Last column: nearest neighbours and their distance in Å.
Space group I4/mmm (No. 139)
Unique sites:
1 Li 0.0000 0.5000 0.2500 (multiplicity 4)  4 Li 2.74, 4 In 2.91, 4 Re 2.91
2 In 0.0000 0.0000 0.0000 (multiplicity 2)  4 Re 2.74, 8 Li 2.91
3 Re 0.0000 0.0000 0.5000 (multiplicity 2)  4 In 2.74, 8 Li 2.91

Output
Mass density (g/cm3): 8.03
E_form (eV per atom): 0.44

***

2.
Crystalline Li2InRe at its relaxed geometry. Source: Alexandria via LeMat-Bulk, functional PBE.

a = 3.9013 Å, b = 3.9013 Å, c = 4.1308 Å
α = 90.00°, β = 90.00°, γ = 90.00°
Last column: nearest neighbours and their distance in Å.
Space group P4/mmm (No. 123)
Unique sites:
1 Li 0.0000 0.5000 0.0000 (multiplicity 2)  4 Li 2.76, 4 Re 2.84, 4 In 2.84
2 In 0.0000 0.0000 0.5000 (multiplicity 1)  4 Re 2.76, 8 Li 2.84
3 Re 0.5000 0.5000 0.5000 (multiplicity 1)  4 In 2.76, 8 Li 2.84

Output
Mass density (g/cm3): 8.32
E_form (eV per atom): 0.39

***

3.
Crystalline LiInRe at its relaxed geometry. Source: Alexandria via LeMat-Bulk, functional PBE.

a = 4.5309 Å, b = 4.5309 Å, c = 2.7308 Å
α = 90.00°, β = 90.00°, γ = 120.00°
Last column: nearest neighbours and their distance in Å.
Space group P3m1 (No. 156)
Unique sites:
1 Li 0.0000 0.0000 0.0000 (multiplicity 1)  3 In 2.62, 2 Li 2.73
2 In 0.6667 0.3333 0.9963 (multiplicity 1)  3 Li 2.62, 2 In 2.73
3 Re 0.3333 0.6667 0.4980 (multiplicity 1)  2 Re 2.73, 6 Li 2.95, 6 In 2.95

Output
Distance to the lowest polymorph of the same formula (eV/atom): 0.0163
Mass density (g/cm3): 10.53
E_form (eV per atom): 0.41

***

4.
Crystalline Li2InRe at its relaxed geometry. Source: Alexandria via LeMat-Bulk, functional PBE.

a = 3.9926 Å, b = 3.9926 Å, c = 7.8883 Å
α = 90.00°, β = 90.00°, γ = 90.00°
Last column: nearest neighbours and their distance in Å.
Space group I-4m2 (No. 119)
Unique sites:
1 Li 0.0000 0.0000 0.0000 (multiplicity 2)  4 Re 2.81, 4 Li 2.81, 4 In 2.82
2 Li 0.0000 0.5000 0.2500 (multiplicity 2)  4 Li 2.81, 4 In 2.81, 4 Re 2.82
3 In 0.0000 0.0000 0.5000 (multiplicity 2)  4 Re 2.81, 8 Li 2.81-2.82
4 Re 0.0000 0.5000 0.7500 (multiplicity 2)  4 In 2.81, 8 Li 2.81-2.82

Output
Mass density (g/cm3): 8.32
E_form (eV per atom): 0.46

***

5.
Crystalline Li2InRe at its relaxed geometry. Source: Alexandria via LeMat-Bulk, functional PBE.

a = 3.3459 Å, b = 4.4235 Å, c = 9.3440 Å
α = 90.00°, β = 90.00°, γ = 90.00°
Last column: nearest neighbours and their distance in Å.
Space group Cmm2 (No. 35)
Unique sites:
1 Li 0.0000 0.0000 0.0000 (multiplicity 2)  6 Li 2.77-3.06, 2 In 2.84
2 Li 0.0000 0.5000 0.2748 (multiplicity 2)  2 Re 2.71, 4 Li 2.77
3 In 0.0000 0.5000 0.7538 (multiplicity 2)  4 In 2.77, 2 Li 2.84, 2 Re 2.88
4 Re 0.0000 0.0000 0.5031 (multiplicity 2)  2 Li 2.71, 4 Re 2.77, 2 In 2.88

Output
Mass density (g/cm3): 7.56
E_form (eV per atom): 0.26

***

6.
Crystalline Li2InRe at its relaxed geometry. Source: Alexandria via LeMat-Bulk, functional PBE.

a = 2.8711 Å, b = 4.7568 Å, c = 4.8247 Å
α = 90.00°, β = 90.00°, γ = 90.00°
Last column: nearest neighbours and their distance in Å.
Space group Pmmm (No. 47)
Unique sites:
1 Li 0.0000 0.0000 0.0000 (multiplicity 1)  6 Li 2.78-2.87, 4 Re 2.81
2 Li 0.5000 0.5000 0.0000 (multiplicity 1)  6 Li 2.78-2.87, 4 In 2.81
3 In 0.0000 0.5000 0.5000 (multiplicity 1)  4 Re 2.78, 4 Li 2.81, 2 In 2.87
4 Re 0.5000 0.0000 0.5000 (multiplicity 1)  4 In 2.78, 4 Li 2.81, 2 Re 2.87

Output
Mass density (g/cm3): 7.94
E_form (eV per atom): 0.29

***

7.
Crystalline Li2InRe at its relaxed geometry. Source: Alexandria via LeMat-Bulk, functional PBE.

a = 2.8051 Å, b = 4.6450 Å, c = 9.1695 Å
α = 90.00°, β = 90.00°, γ = 90.00°
Last column: nearest neighbours and their distance in Å.
Space group Imm2 (No. 44)
Unique sites:
1 Li 0.0000 0.0000 0.0000 (multiplicity 2)  2 Li 2.45, 4 In 2.73, 2 Re 2.74
2 Li 0.0000 0.5000 0.2806 (multiplicity 2)  2 Li 2.45, 2 In 2.65, 4 Re 2.72
3 In 0.0000 0.0000 0.5354 (multiplicity 2)  6 Li 2.65-2.73, 2 In 2.81, 2 Re 2.91
4 Re 0.0000 0.5000 0.7573 (multiplicity 2)  6 Li 2.72-2.74, 2 Re 2.81, 2 In 2.91

Output
Mass density (g/cm3): 8.75
E_form (eV per atom): 0.34

***

8.
Crystalline LiInRe at its relaxed geometry. Source: Alexandria via LeMat-Bulk, functional PBE.

a = 5.9640 Å, b = 5.9640 Å, c = 5.9640 Å
α = 90.00°, β = 90.00°, γ = 90.00°
Last column: nearest neighbours and their distance in Å.
Space group F-43m (No. 216)
Unique sites:
1 Li 0.0000 0.0000 0.0000 (multiplicity 4)  4 Re 2.58, 4 In 2.58
2 In 0.2500 0.2500 0.2500 (multiplicity 4)  4 Li 2.58
3 Re 0.2500 0.2500 0.7500 (multiplicity 4)  4 Li 2.58

Output
Distance to the lowest polymorph of the same formula (eV/atom): 0.6665
Mass density (g/cm3): 9.64
E_form (eV per atom): 1.06

***

Question: Among the records above, which one has the highest E_form?
Answer: number 8

***

Question: Look up the mass density of the first one.
Answer: 8.03 g/cm3

***

Copy entry 7 word for word.
Crystalline Li2InRe at its relaxed geometry. Source: Alexandria via LeMat-Bulk, functional PBE.

a = 2.8051 Å, b = 4.6450 Å, c = 9.1695 Å
α = 90.00°, β = 90.00°, γ = 90.00°
Last column: nearest neighbours and their distance in Å.
Space group Imm2 (No. 44)
Unique sites:
1 Li 0.0000 0.0000 0.0000 (multiplicity 2)  2 Li 2.45, 4 In 2.73, 2 Re 2.74
2 Li 0.0000 0.5000 0.2806 (multiplicity 2)  2 Li 2.45, 2 In 2.65, 4 Re 2.72
3 In 0.0000 0.0000 0.5354 (multiplicity 2)  6 Li 2.65-2.73, 2 In 2.81, 2 Re 2.91
4 Re 0.0000 0.5000 0.7573 (multiplicity 2)  6 Li 2.72-2.74, 2 Re 2.81, 2 In 2.91

Output
Mass density (g/cm3): 8.75
E_form (eV per atom): 0.34